[1]
# SCAN BaMnCr2, PBEsol geometry
data_BaMnCr2
_space_group_name_H-M_alt 'R 3 m'
_space_group_IT_number 160
_space_group_name_Hall 'R 3 -2"'
_cell_length_a 3.9758
_cell_length_b 3.9758
_cell_length_c 18.0004
_cell_angle_alpha 90.00
_cell_angle_beta 90.00
_cell_angle_gamma 120.00
loop_
_atom_site_label
_atom_site_type_symbol
_atom_site_fract_x
_atom_site_fract_y
_atom_site_fract_z
_atom_site_occupancy
Ba1 Ba 0.0000 0.0000 0.0000 1
Mn1 Mn 0.0000 0.0000 0.8088 1
Cr1 Cr 0.0000 0.0000 0.1910 1
Cr2 Cr 0.0000 0.0000 0.4959 1
# ρ	5.99	g cm⁻³
# ΔE_f	0.597	eV/atom

[2]
# SCAN In2AsRh, PBEsol geometry
data_In2AsRh
_space_group_name_H-M_alt 'R 3 m'
_space_group_IT_number 160
_space_group_name_Hall 'R 3 -2"'
_cell_length_a 3.3670
_cell_length_b 3.3670
_cell_length_c 24.6351
_cell_angle_alpha 90.00
_cell_angle_beta 90.00
_cell_angle_gamma 120.00
loop_
_atom_site_label
_atom_site_type_symbol
_atom_site_fract_x
_atom_site_fract_y
_atom_site_fract_z
_atom_site_occupancy
In1 In 0.0000 0.0000 0.0000 1
In2 In 0.0000 0.0000 0.2340 1
As1 As 0.0000 0.0000 0.4717 1
Rh1 Rh 0.0000 0.0000 0.7477 1
# ρ	8.39	g cm⁻³
# ΔE_f	-0.182	eV/atom

[3]
# SCAN ZrSbPbI2, PBEsol geometry
data_ZrSbPbI2
_space_group_name_H-M_alt 'P 4/m m m'
_space_group_IT_number 123
_space_group_name_Hall '-P 4 2'
_cell_length_a 5.511
_cell_length_b 5.511
_cell_length_c 5.729
_cell_angle_alpha 90.00
_cell_angle_beta 90.00
_cell_angle_gamma 90.00
loop_
_atom_site_label
_atom_site_type_symbol
_atom_site_fract_x
_atom_site_fract_y
_atom_site_fract_z
_atom_site_occupancy
Zr1 Zr 0.000 0.000 0.000 1
Sb1 Sb 0.000 0.000 0.500 1
Pb1 Pb 0.500 0.500 0.500 1
I1 I 0.000 0.500 0.000 1
# ρ	6.43	g cm⁻³
# uncorrected formation energy	-0.027	eV per atom

[4]
# SCAN Zr5Os3, PBEsol geometry
data_Zr5Os3
_space_group_name_H-M_alt 'P 63/m c m'
_space_group_IT_number 193
_space_group_name_Hall '-P 6c 2'
_cell_length_a 7.8525
_cell_length_b 7.8525
_cell_length_c 5.6117
_cell_angle_alpha 90.00
_cell_angle_beta 90.00
_cell_angle_gamma 120.00
loop_
_atom_site_label
_atom_site_type_symbol
_atom_site_fract_x
_atom_site_fract_y
_atom_site_fract_z
_atom_site_occupancy
Zr1 Zr 0.0000 0.2381 0.2500 1
Zr2 Zr 0.3333 0.6667 0.0000 1
Os1 Os 0.0000 0.4020 0.7500 1
# ρ	11.38	g cm⁻³
# ΔE_f	-0.514	eV/atom

[5]
# SCAN LiBe2Cd, PBEsol geometry
data_LiBe2Cd
_space_group_name_H-M_alt 'P m m m'
_space_group_IT_number 47
_cell_length_a 2.904
_cell_length_b 2.993
_cell_length_c 5.651
_cell_angle_alpha 90.00
_cell_angle_beta 90.00
_cell_angle_gamma 90.00
loop_
_space_group_symop_operation_xyz
'x,y,z'
'-x,-y,-z'
'-x,-y,z'
'x,y,-z'
'x,-y,-z'
'-x,y,z'
'-x,y,-z'
'x,-y,z'
loop_
_atom_site_label
_atom_site_type_symbol
_atom_site_fract_x
_atom_site_fract_y
_atom_site_fract_z
_atom_site_occupancy
Li1 Li 0.000 0.000 0.000 1
Be1 Be 0.500 0.500 0.210 1
Cd1 Cd 0.000 0.000 0.500 1
# ρ	4.65	g cm⁻³
# ΔE_f	0.240	eV/atom

[6]
# SCAN TiB3Sb, PBEsol geometry
data_TiB3Sb
_space_group_name_H-M_alt 'P m -3 m'
_space_group_IT_number 221
_space_group_name_Hall '-P 4 2 3'
_cell_length_a 4.335
_cell_length_b 4.335
_cell_length_c 4.335
_cell_angle_alpha 90.00
_cell_angle_beta 90.00
_cell_angle_gamma 90.00
loop_
_atom_site_label
_atom_site_type_symbol
_atom_site_fract_x
_atom_site_fract_y
_atom_site_fract_z
_atom_site_occupancy
Ti1 Ti 0.000 0.000 0.000 1
B1 B 0.000 0.500 0.500 1
Sb1 Sb 0.500 0.500 0.500 1
# ρ	4.12	g cm⁻³
# uncorrected formation energy	2.200	eV per atom

[7]
# SCAN K2Si4SbO11, PBEsol geometry
data_K2Si4SbO11
_space_group_name_H-M_alt 'P 1 21/c 1'
_space_group_IT_number 14
_cell_length_a 6.436
_cell_length_b 10.823
_cell_length_c 15.479
_cell_angle_alpha 90.00
_cell_angle_beta 100.97
_cell_angle_gamma 90.00
loop_
_space_group_symop_operation_xyz
'x,y,z'
'-x,-y,-z'
'-x,y+1/2,-z+1/2'
'x,-y+1/2,z+1/2'
loop_
_atom_site_label
_atom_site_type_symbol
_atom_site_fract_x
_atom_site_fract_y
_atom_site_fract_z
_atom_site_occupancy
K1 K 0.212 0.113 0.416 1
K2 K 0.214 0.013 0.928 1
Si1 Si 0.030 0.204 0.709 1
Si2 Si 0.345 0.013 0.653 1
Si3 Si 0.348 0.089 0.182 1
Si4 Si 0.408 0.719 0.913 1
Sb1 Sb 0.227 0.711 0.600 1
O1 O 0.010 0.186 0.988 1
O2 O 0.028 0.703 0.695 1
O3 O 0.128 0.160 0.190 1
O4 O 0.170 0.671 0.870 1
O5 O 0.202 0.594 0.100 1
O6 O 0.212 0.098 0.709 1
O7 O 0.314 0.522 0.612 1
O8 O 0.438 0.097 0.580 1
O9 O 0.439 0.720 0.510 1
O10 O 0.444 0.042 0.283 1
O11 O 0.474 0.684 0.342 1
# ρ	3.06	g cm⁻³
# uncorrected formation energy	-2.583	eV per atom

[8]
# SCAN LuNi2Ge2, PBEsol geometry
data_LuNi2Ge2
_space_group_name_H-M_alt 'I 4/m m m'
_space_group_IT_number 139
_space_group_name_Hall '-I 4 2'
_cell_length_a 3.965
_cell_length_b 3.965
_cell_length_c 9.629
_cell_angle_alpha 90.00
_cell_angle_beta 90.00
_cell_angle_gamma 90.00
loop_
_atom_site_label
_atom_site_type_symbol
_atom_site_fract_x
_atom_site_fract_y
_atom_site_fract_z
_atom_site_occupancy
Lu1 Lu 0.000 0.000 0.000 1
Ni1 Ni 0.000 0.500 0.250 1
Ge1 Ge 0.000 0.000 0.373 1
# ρ	9.60	g cm⁻³
# ΔE_f	-0.722	eV/atom